! PBE Ce2ZnPN5, relaxed; values from VASP
! Formation energy without anion corrections   -0.715 eV/atom
! Volume   12.35 Å³ per atom
! Total DFT energy (no corrections)   -7.402 eV/atom
&SYSTEM
  ibrav = 0, nat = 18, ntyp = 4
/
ATOMIC_SPECIES
Ce 140.12 Ce.upf
Zn 65.41 Zn.upf
P 30.97 P.upf
N 14.01 N.upf
ATOMIC_POSITIONS crystal
Ce 0.873 0.746 0.805
Ce 0.126 0.251 0.676
Ce 0.127 0.254 0.305
Ce 0.874 0.749 0.176
Zn 0.784 0.568 0.516
Zn 0.216 0.432 0.016
P 0.553 0.107 0.937
P 0.447 0.893 0.437
N 0.354 0.709 0.006
N 0.662 0.325 0.891
N 0.500 0.999 0.787
N 0.293 0.586 0.684
N 0.973 0.945 0.521
N 0.646 0.291 0.506
N 0.338 0.675 0.391
N 0.500 0.001 0.287
N 0.707 0.414 0.184
N 0.027 0.055 0.021
CELL_PARAMETERS angstrom
3.175 0.000 0.000
-1.587 7.273 0.000
0.000 0.000 9.626

---

! PBE KNaReI6, relaxed; values from VASP
! Formation energy without anion corrections   -0.540 eV/atom
! Volume   44.01 Å³ per atom
! Total DFT energy (no corrections)   -3.225 eV/atom
&SYSTEM
  ibrav = 0, nat = 18, ntyp = 4
/
ATOMIC_SPECIES
K 39.10 K.upf
Na 22.99 Na.upf
Re 186.21 Re.upf
I 126.90 I.upf
ATOMIC_POSITIONS crystal
K 0.000 0.000 0.000
K 0.000 0.000 0.500
Na 0.333 0.667 0.250
Na 0.667 0.333 0.750
Re 0.667 0.333 0.250
Re 0.333 0.667 0.750
I 0.651 0.607 0.140
I 0.956 0.349 0.140
I 0.349 0.956 0.640
I 0.044 0.651 0.860
I 0.393 0.349 0.360
I 0.956 0.607 0.360
I 0.607 0.956 0.860
I 0.651 0.044 0.360
I 0.044 0.393 0.640
I 0.393 0.044 0.140
I 0.607 0.651 0.640
I 0.349 0.393 0.860
CELL_PARAMETERS angstrom
-1.601 -5.645 5.326
-2.024 -1.027 -7.592
12.945 -6.144 -2.621